DFT (PBEsol) results for a relaxed V4OF11 crystal.

Results
VASP energy   -6.902 eV per atom
ΔE_f (raw)   -2840.6 meV/atom
Symmetry   No. 5
Total moment   0.438 μB/atom
DOS(E_F)   0.650 states/eV/atom
Density   3.54 g/cm³

Geometry as POSCAR:
```
V4OF11
1.0
5.150 0.000 0.000
-2.575 4.650 -0.021
0.000 -2.711 8.407
F V O
11 4 1
direct
0.717 0.501 0.747
0.675 0.996 0.199
0.216 0.499 0.253
0.679 0.004 0.801
0.817 0.493 0.449
0.173 0.992 0.702
0.181 0.008 0.298
0.826 0.507 0.048
0.324 0.507 0.551
0.319 0.493 0.952
0.288 0.000 0.000
0.748 0.766 0.616
0.248 0.748 0.127
0.982 0.234 0.384
0.501 0.252 0.873
0.804 0.000 0.500
```